1.
# Sm5Ni2Pb, optimized geometry, DFT PBE-GGA
# ΔE_f ... -0.34 eV per atom
# Magnetic moment ... 0.000 μB/atom
# Uncorrected energy ... -5.20 eV per atom
data_Sm5Ni2Pb
_chemical_formula_sum 'Sm20 Ni8 Pb4'
_symmetry_space_group_name_H-M 'I 4/m c m'
_symmetry_Int_Tables_number 140
_symmetry_space_group_name_Hall '-I 4 2c'
_cell_length_a 7.8968
_cell_length_b 7.8968
_cell_length_c 13.5985
_cell_angle_alpha 90.00
_cell_angle_beta 90.00
_cell_angle_gamma 90.00
loop_
_atom_site_label
_atom_site_fract_x
_atom_site_fract_y
_atom_site_fract_z
Sm1 0.0000 0.0000 0.0000
Sm2 0.1575 0.3425 0.1353
Ni1 0.1277 0.3723 0.5000
Pb1 0.0000 0.0000 0.2500

***

2.
# Sm6Ni2Pb, optimized geometry, DFT PBE-GGA
# ΔE_f ... -0.30 eV per atom
# Magnetic moment ... 0.000 μB/atom
# Uncorrected energy ... -5.14 eV per atom
data_Sm6Ni2Pb
_chemical_formula_sum 'Sm24 Ni8 Pb4'
_symmetry_space_group_name_H-M 'I m m m'
_symmetry_Int_Tables_number 71
_symmetry_space_group_name_Hall '-I 2 2'
_cell_length_a 9.4451
_cell_length_b 10.1246
_cell_length_c 10.4169
_cell_angle_alpha 90.00
_cell_angle_beta 90.00
_cell_angle_gamma 90.00
loop_
_atom_site_label
_atom_site_fract_x
_atom_site_fract_y
_atom_site_fract_z
Sm1 0.0000 0.2065 0.2288
Sm2 0.1901 0.5000 0.1766
Sm3 0.2054 0.3171 0.5000
Ni1 0.0000 0.3599 0.0000
Ni2 0.0000 0.5000 0.3794
Pb1 0.0000 0.0000 0.0000
Pb2 0.0000 0.0000 0.5000

***

3.
# SmNiPb2, optimized geometry, DFT PBE-GGA
# ΔE_f ... 0.19 eV per atom
# Magnetic moment ... 0.000 μB/atom
# Uncorrected energy ... -4.29 eV per atom
data_SmNiPb2
_chemical_formula_sum 'Sm3 Ni3 Pb6'
_symmetry_space_group_name_H-M 'R -3 m'
_symmetry_Int_Tables_number 166
_symmetry_space_group_name_Hall '-R 3 2"'
_cell_length_a 3.5364
_cell_length_b 3.5364
_cell_length_c 30.3172
_cell_angle_alpha 90.00
_cell_angle_beta 90.00
_cell_angle_gamma 120.00
loop_
_atom_site_label
_atom_site_fract_x
_atom_site_fract_y
_atom_site_fract_z
Sm1 0.0000 0.0000 0.0000
Ni1 0.0000 0.0000 0.5000
Pb1 0.0000 0.0000 0.1067

***

4.
# Sm12Ni5Pb, optimized geometry, DFT PBE-GGA
# ΔE_f ... -0.29 eV per atom
# Magnetic moment ... 0.000 μB/atom
# Uncorrected energy ... -5.25 eV per atom
data_Sm12Ni5Pb
_chemical_formula_sum 'Sm24 Ni10 Pb2'
_symmetry_space_group_name_H-M 'I m m m'
_symmetry_Int_Tables_number 71
_symmetry_space_group_name_Hall '-I 2 2'
_cell_length_a 9.5584
_cell_length_b 9.8372
_cell_length_c 10.1883
_cell_angle_alpha 90.00
_cell_angle_beta 90.00
_cell_angle_gamma 90.00
loop_
_atom_site_label
_atom_site_fract_x
_atom_site_fract_y
_atom_site_fract_z
Sm1 0.0000 0.1904 0.2050
Sm2 0.1923 0.5000 0.1790
Sm3 0.2008 0.3187 0.5000
Ni1 0.0000 0.0000 0.0000
Ni2 0.0000 0.3688 0.0000
Ni3 0.0000 0.5000 0.3769
Pb1 0.0000 0.0000 0.5000

***

5.
# NiSn3Pb, optimized geometry, DFT PBE-GGA
# ΔE_f ... 1.31 eV per atom
# Magnetic moment ... 0.110 μB/atom
# Uncorrected energy ... -2.99 eV per atom
data_NiSn3Pb
_chemical_formula_sum 'Ni1 Sn3 Pb1'
_symmetry_space_group_name_H-M 'P m -3 m'
_symmetry_Int_Tables_number 221
_symmetry_space_group_name_Hall '-P 4 2 3'
_cell_length_a 5.7552
_cell_length_b 5.7552
_cell_length_c 5.7552
_cell_angle_alpha 90.00
_cell_angle_beta 90.00
_cell_angle_gamma 90.00
loop_
_atom_site_label
_atom_site_fract_x
_atom_site_fract_y
_atom_site_fract_z
Ni1 0.0000 0.0000 0.0000
Sn1 0.0000 0.5000 0.5000
Pb1 0.5000 0.5000 0.5000

***

6.
# NiSnPb3, optimized geometry, DFT PBE-GGA
# ΔE_f ... 0.16 eV per atom
# Magnetic moment ... 0.000 μB/atom
# Uncorrected energy ... -4.02 eV per atom
data_NiSnPb3
_chemical_formula_sum 'Ni1 Sn1 Pb3'
_symmetry_space_group_name_H-M 'P m -3 m'
_symmetry_Int_Tables_number 221
_symmetry_space_group_name_Hall '-P 4 2 3'
_cell_length_a 5.1999
_cell_length_b 5.1999
_cell_length_c 5.1999
_cell_angle_alpha 90.00
_cell_angle_beta 90.00
_cell_angle_gamma 90.00
loop_
_atom_site_label
_atom_site_fract_x
_atom_site_fract_y
_atom_site_fract_z
Ni1 0.0000 0.0000 0.0000
Sn1 0.5000 0.5000 0.5000
Pb1 0.0000 0.0000 0.5000